--- i ---
A plane-wave DFT calculation with PBE was carried out for a geometry-optimized ZrScSCl2 structure.

a b c (Å): 4.847 4.847 5.048
angles (deg): 90.00 90.00 90.00
Fractional positions:
1 Zr 0.000 0.000 0.000
2 Sc 0.500 0.500 0.500
3 S 0.500 0.500 0.000
4 Cl 0.000 0.500 0.500
5 Cl 0.500 0.000 0.500

Values from the calculation:
magnetic moment = 2.710 μB per cell

***

--- ii ---
A plane-wave DFT calculation with PBE was carried out for a geometry-optimized ZrScSCl2 structure.

a b c (Å): 4.963 4.963 5.069
angles (deg): 90.00 90.00 90.00
Fractional positions:
1 Zr 0.000 0.000 0.000
2 Sc 0.500 0.500 0.500
3 S 0.000 0.000 0.500
4 Cl 0.000 0.500 0.000
5 Cl 0.500 0.000 0.000

Values from the calculation:
magnetic moment = 1.536 μB per cell

***

Most favorable first, least favorable last: ii, i

***

--- i ---
A plane-wave DFT calculation with PBE was carried out for a geometry-optimized SeSCl2 structure.

a b c (Å): 9.568 9.568 9.568
angles (deg): 153.93 153.93 37.21
Fractional positions:
1 Se 0.000 0.000 0.000
2 Se 0.750 0.250 0.500
3 S 0.250 0.750 0.500
4 S 0.500 0.500 0.000
5 Cl 0.123 0.625 0.998
6 Cl 0.375 0.373 0.498
7 Cl 0.627 0.125 0.002
8 Cl 0.875 0.877 0.502

Values from the calculation:
magnetic moment = 0.000 μB per cell

***

--- ii ---
A plane-wave DFT calculation with PBE was carried out for a geometry-optimized SeSCl2 structure.

a b c (Å): 4.806 4.806 4.806
angles (deg): 60.00 60.00 60.00
Fractional positions:
1 Se 0.000 0.000 0.000
2 S 0.500 0.500 0.500
3 Cl 0.250 0.250 0.250
4 Cl 0.750 0.750 0.750

Values from the calculation:
magnetic moment = 0.000 μB per cell

***

--- iii ---
A plane-wave DFT calculation with PBE was carried out for a geometry-optimized SeSCl2 structure.

a b c (Å): 12.634 12.634 12.634
angles (deg): 14.24 14.24 14.24
Fractional positions:
1 Se 0.000 0.000 0.000
2 S 0.500 0.500 0.500
3 Cl 0.061 0.061 0.061
4 Cl 0.939 0.939 0.939

Values from the calculation:
magnetic moment = 0.409 μB per cell

***

Most favorable first, least favorable last: iii, i, ii

***

--- i ---
A plane-wave DFT calculation with PBE was carried out for a geometry-optimized SeSCl2 structure.

a b c (Å): 6.753 6.753 11.901
angles (deg): 90.00 90.00 148.15
Fractional positions:
1 Se 0.095 0.905 0.750
2 Se 0.905 0.095 0.250
3 S 0.060 0.940 0.250
4 S 0.940 0.060 0.750
5 Cl 0.357 0.643 0.102
6 Cl 0.357 0.643 0.398
7 Cl 0.643 0.357 0.602
8 Cl 0.643 0.357 0.898

Values from the calculation:
magnetic moment = 0.000 μB per cell

***

--- ii ---
A plane-wave DFT calculation with PBE was carried out for a geometry-optimized SeSCl2 structure.

a b c (Å): 12.526 12.526 12.526
angles (deg): 14.30 14.30 14.30
Fractional positions:
1 Se 0.000 0.000 0.000
2 S 0.500 0.500 0.500
3 Cl 0.442 0.442 0.442
4 Cl 0.558 0.558 0.558

Values from the calculation:
magnetic moment = 0.335 μB per cell

***

Most favorable first, least favorable last: i, ii

***

--- i ---
A plane-wave DFT calculation with PBE was carried out for a geometry-optimized Se2SCl structure.

a b c (Å): 6.322 6.322 6.322
angles (deg): 111.53 111.53 105.43
Fractional positions:
1 Se 0.071 0.125 0.446
2 Se 0.375 0.929 0.054
3 Se 0.679 0.625 0.554
4 Se 0.875 0.321 0.946
5 S 0.000 0.000 0.000
6 S 0.750 0.250 0.500
7 Cl 0.250 0.750 0.500
8 Cl 0.500 0.500 0.000

Values from the calculation:
magnetic moment = 0.000 μB per cell

***

--- ii ---
A plane-wave DFT calculation with PBE was carried out for a geometry-optimized Se2SCl structure.

a b c (Å): 4.769 4.769 4.769
angles (deg): 60.00 60.00 60.00
Fractional positions:
1 Se 0.250 0.250 0.250
2 Se 0.750 0.750 0.750
3 S 0.000 0.000 0.000
4 Cl 0.500 0.500 0.500

Values from the calculation:
magnetic moment = 0.000 μB per cell

***

--- iii ---
A plane-wave DFT calculation with PBE was carried out for a geometry-optimized Se2SCl structure.

a b c (Å): 8.531 8.531 8.531
angles (deg): 24.73 24.73 24.73
Fractional positions:
1 Se 0.102 0.102 0.102
2 Se 0.898 0.898 0.898
3 S 0.500 0.500 0.500
4 Cl 0.000 0.000 0.000

Values from the calculation:
magnetic moment = 0.000 μB per cell

***

Most favorable first, least favorable last: iii, i, ii

***

--- i ---
A plane-wave DFT calculation with PBE was carried out for a geometry-optimized SeS2Cl structure.

a b c (Å): 5.155 5.167 6.325
angles (deg): 90.46 90.64 109.09
Fractional positions:
1 Se 0.000 0.000 0.000
2 S 0.194 0.194 0.522
3 S 0.903 0.900 0.652
4 Cl 0.672 0.668 0.142

Values from the calculation:
magnetic moment = 1.015 μB per cell

***

--- ii ---
A plane-wave DFT calculation with PBE was carried out for a geometry-optimized SeS2Cl structure.

a b c (Å): 6.226 6.226 6.226
angles (deg): 111.53 111.53 105.42
Fractional positions:
1 Se 0.000 0.000 0.000
2 Se 0.750 0.250 0.500
3 S 0.075 0.125 0.450
4 S 0.375 0.925 0.050
5 S 0.675 0.625 0.550
6 S 0.875 0.325 0.950
7 Cl 0.250 0.750 0.500
8 Cl 0.500 0.500 0.000

Values from the calculation:
magnetic moment = 0.000 μB per cell

***

Most favorable first, least favorable last: i, ii

***

--- i ---
A plane-wave DFT calculation with PBE was carried out for a geometry-optimized SeS2Cl structure.

a b c (Å): 4.662 4.662 4.662
angles (deg): 60.00 60.00 60.00
Fractional positions:
1 Se 0.000 0.000 0.000
2 S 0.250 0.250 0.250
3 S 0.750 0.750 0.750
4 Cl 0.500 0.500 0.500

Values from the calculation:
magnetic moment = 0.000 μB per cell

***

--- ii ---
A plane-wave DFT calculation with PBE was carried out for a geometry-optimized SeS2Cl structure.

a b c (Å): 8.186 8.186 8.186
angles (deg): 25.80 25.80 25.80
Fractional positions:
1 Se 0.000 0.000 0.000
2 S 0.398 0.398 0.398
3 S 0.602 0.602 0.602
4 Cl 0.500 0.500 0.500

Values from the calculation:
magnetic moment = 0.000 μB per cell

***

Most favorable first, least favorable last: ii, i